First-principles (PBE) data for a relaxed BaNaPuF6 crystal, as listed in the Alexandria database.

Lattice parameters (Å, degrees): 6.1316 6.1316 10.9794 90.00 90.00 120.00
Space group P-31c (No. 163)
Asymmetric unit:
Ba 0.0000 0.0000 0.0000 [2 per cell]
Na 0.3333 0.6667 0.2500 [2 per cell]
Pu 0.3333 0.6667 0.7500 [2 per cell]
F 0.0072 0.3544 0.6405 [12 per cell]

Properties
Uncorrected formation energy, eV per atom: -3.467
Spin magnetization, μB/cell: 10.000
Density, g/cm3: 4.82
Total DFT energy (no corrections), eV/atom: -6.67


First-principles (PBE) data for a relaxed Ni2OsBr crystal, as listed in the Alexandria database.

Lattice parameters (Å, degrees): 6.097 6.097 6.097 90.00 90.00 90.00
Space group Fm-3m (No. 225)
Asymmetric unit:
Ni 0.250 0.250 0.250 [8 per cell]
Os 0.000 0.000 0.000 [4 per cell]
Br 0.000 0.000 0.500 [4 per cell]

Properties
Uncorrected formation energy, eV per atom: 1.145
Excess energy over the best structure of this formula in the dataset, meV/atom: 660
Spin magnetization, μB/cell: 0.000
Density, g/cm3: 11.35
Total DFT energy (no corrections), eV/atom: -4.97


First-principles (PBE) data for a relaxed PrThTe2 crystal, as listed in the Alexandria database.

Lattice parameters (Å, degrees): 4.2453 4.2453 24.7692 90.00 90.00 120.00
Space group R3m (No. 160, hexagonal axes)
Asymmetric unit:
Pr 0.0000 0.0000 0.0000 [3 per cell]
Th 0.0000 0.0000 0.8307 [3 per cell]
Te 0.0000 0.0000 0.4159 [3 per cell]
Te 0.0000 0.0000 0.5818 [3 per cell]

Properties
Uncorrected formation energy, eV per atom: -1.220
Excess energy over the best structure of this formula in the dataset, meV/atom: 15
Spin magnetization, μB/cell: 0.001
Density, g/cm3: 8.09
Total DFT energy (no corrections), eV/atom: -5.84


First-principles (PBE) data for a relaxed TiAu crystal, as listed in the Alexandria database.

Lattice parameters (Å, degrees): 4.4961 4.4961 5.3705 90.00 90.00 120.00
Space group P6_3/mmc (No. 194)
Asymmetric unit:
Ti 0.3333 0.6667 0.2500 [2 per cell]
Au 0.3333 0.6667 0.7500 [2 per cell]

Properties
Formation enthalpy at 0 K, eV/atom: 0.293
Spin magnetization, μB/cell: 1.826
Density, g/cm3: 8.65
Total DFT energy (no corrections), eV/atom: -5.29